Entry 1:
The following is a DFT calculation (PBE) of a geometry-optimized Nd2GaGe3Pt4 structure.

Structure (CIF):
```
data_Nd2GaGe3Pt4
_cell_length_a 4.3763
_cell_length_b 4.3763
_cell_length_c 10.1173
_cell_angle_alpha 90.00
_cell_angle_beta 90.00
_cell_angle_gamma 90.00
_symmetry_space_group_name_H-M 'P 1'
_symmetry_Int_Tables_number 1
loop_
_symmetry_equiv_pos_as_xyz
'x,y,z'
loop_
_atom_site_label
_atom_site_type_symbol
_atom_site_fract_x
_atom_site_fract_y
_atom_site_fract_z
Nd1 Nd 0.0000 0.5000 0.2462
Nd2 Nd 0.5000 0.0000 0.7538
Ga1 Ga 0.5000 0.5000 0.0000
Ge1 Ge 0.0000 0.0000 0.0000
Ge2 Ge 0.0000 0.5000 0.6290
Ge3 Ge 0.5000 0.0000 0.3710
Pt1 Pt 0.0000 0.0000 0.5000
Pt2 Pt 0.0000 0.5000 0.8718
Pt3 Pt 0.5000 0.0000 0.1282
Pt4 Pt 0.5000 0.5000 0.5000
```

Computed properties:
Energy of formation from the pure elements: -9.6 eV/f.u.
DOS(E_F): 5.2 states/eV per cell
E: -6.016 eV/atom



Entry 2:
The following is a DFT calculation (PBE) of a geometry-optimized Nd2GaGe4Rh3 structure.

Structure (CIF):
```
data_Nd2GaGe4Rh3
_cell_length_a 4.2877
_cell_length_b 4.2877
_cell_length_c 10.2758
_cell_angle_alpha 90.00
_cell_angle_beta 90.00
_cell_angle_gamma 90.00
_symmetry_space_group_name_H-M 'P 1'
_symmetry_Int_Tables_number 1
loop_
_symmetry_equiv_pos_as_xyz
'x,y,z'
loop_
_atom_site_label
_atom_site_type_symbol
_atom_site_fract_x
_atom_site_fract_y
_atom_site_fract_z
Nd1 Nd 0.0000 0.5000 0.2421
Nd2 Nd 0.5000 0.0000 0.7579
Ga1 Ga 0.0000 0.0000 0.5000
Ge1 Ge 0.0000 0.0000 0.0000
Ge2 Ge 0.0000 0.5000 0.6433
Ge3 Ge 0.5000 0.0000 0.3567
Ge4 Ge 0.5000 0.5000 0.0000
Rh1 Rh 0.0000 0.5000 0.8794
Rh2 Rh 0.5000 0.0000 0.1206
Rh3 Rh 0.5000 0.5000 0.5000
```

Computed properties:
Energy of formation from the pure elements: -7.6 eV/f.u.
DOS(E_F): 5.0 states/eV per cell
E: -6.070 eV/atom



Entry 3:
The following is a DFT calculation (PBE) of a geometry-optimized Nd2GaGe3Rh4 structure.

Structure (CIF):
```
data_Nd2GaGe3Rh4
_cell_length_a 4.2714
_cell_length_b 4.2714
_cell_length_c 10.1342
_cell_angle_alpha 90.00
_cell_angle_beta 90.00
_cell_angle_gamma 90.00
_symmetry_space_group_name_H-M 'P 1'
_symmetry_Int_Tables_number 1
loop_
_symmetry_equiv_pos_as_xyz
'x,y,z'
loop_
_atom_site_label
_atom_site_type_symbol
_atom_site_fract_x
_atom_site_fract_y
_atom_site_fract_z
Nd1 Nd 0.0000 0.5000 0.2474
Nd2 Nd 0.5000 0.0000 0.7526
Ga1 Ga 0.5000 0.5000 0.0000
Ge1 Ge 0.0000 0.0000 0.0000
Ge2 Ge 0.0000 0.5000 0.6295
Ge3 Ge 0.5000 0.0000 0.3705
Rh1 Rh 0.0000 0.0000 0.5000
Rh2 Rh 0.0000 0.5000 0.8704
Rh3 Rh 0.5000 0.0000 0.1296
Rh4 Rh 0.5000 0.5000 0.5000
```

Computed properties:
Energy of formation from the pure elements: -8.7 eV/f.u.
DOS(E_F): 6.8 states/eV per cell
E: -6.453 eV/atom



Entry 4:
The following is a DFT calculation (PBE) of a geometry-optimized Nd2GaGe2Rh5 structure.

Structure (CIF):
```
data_Nd2GaGe2Rh5
_cell_length_a 9.9405
_cell_length_b 9.9405
_cell_length_c 3.5703
_cell_angle_alpha 90.00
_cell_angle_beta 90.00
_cell_angle_gamma 90.00
_symmetry_space_group_name_H-M 'P 1'
_symmetry_Int_Tables_number 1
loop_
_symmetry_equiv_pos_as_xyz
'x,y,z'
loop_
_atom_site_label
_atom_site_type_symbol
_atom_site_fract_x
_atom_site_fract_y
_atom_site_fract_z
Nd1 Nd 0.1750 0.3250 0.0000
Nd2 Nd 0.3250 0.8250 0.0000
Nd3 Nd 0.6750 0.1750 0.0000
Nd4 Nd 0.8250 0.6750 0.0000
Ga1 Ga 0.0000 0.0000 0.0000
Ga2 Ga 0.5000 0.5000 0.0000
Ge1 Ge 0.1239 0.6239 0.0000
Ge2 Ge 0.3761 0.1239 0.0000
Ge3 Ge 0.6239 0.8761 0.0000
Ge4 Ge 0.8761 0.3761 0.0000
Rh1 Rh 0.0000 0.5000 0.5000
Rh2 Rh 0.0649 0.7924 0.5000
Rh3 Rh 0.2076 0.0649 0.5000
Rh4 Rh 0.2924 0.5649 0.5000
Rh5 Rh 0.4351 0.2924 0.5000
Rh6 Rh 0.5000 0.0000 0.5000
Rh7 Rh 0.5649 0.7076 0.5000
Rh8 Rh 0.7076 0.4351 0.5000
Rh9 Rh 0.7924 0.9351 0.5000
Rh10 Rh 0.9351 0.2076 0.5000
```

Computed properties:
Energy of formation from the pure elements: -7.2 eV/f.u.
DOS(E_F): 7.2 states/eV per cell
E: -6.574 eV/atom